Arrangement a

Compound: MgAs2F
Source: Alexandria
Functional: PBE
Structure: optimized geometry

a b c (Å): 4.558 4.558 4.558
angles (deg): 60.00 60.00 60.00
Positions (direct):
Mg: 0.000 0.000 0.000
As: 0.250 0.250 0.250
As: 0.750 0.750 0.750
F: 0.500 0.500 0.500

Density   4.79 g/cm3

Arrangement b

Compound: MgAs2F
Source: Alexandria
Functional: PBE
Structure: optimized geometry

a b c (Å): 11.386 11.386 11.386
angles (deg): 161.75 161.75 25.93
Positions (direct):
Mg: 0.000 0.000 0.000
Mg: 0.750 0.250 0.500
As: 0.116 0.625 0.991
As: 0.375 0.366 0.491
As: 0.634 0.125 0.009
As: 0.875 0.884 0.509
F: 0.250 0.750 0.500
F: 0.500 0.500 0.000

Density   4.43 g/cm3

arrangement b is preferred energetically. Next in line: 434 meV per atom higher.

Arrangement a

Compound: MgAsN2F
Source: Alexandria
Functional: PBE
Structure: optimized geometry

a b c (Å): 3.810 3.810 3.996
angles (deg): 90.00 90.00 90.00
Positions (direct):
Mg: 0.000 0.000 0.000
As: 0.500 0.500 0.500
N: 0.000 0.500 0.500
N: 0.500 0.000 0.500
F: 0.500 0.500 0.000

Density   4.19 g/cm3

Arrangement b

Compound: MgAsN2F
Source: Alexandria
Functional: PBE
Structure: optimized geometry

a b c (Å): 4.161 4.161 3.630
angles (deg): 90.00 90.00 90.00
Positions (direct):
Mg: 0.000 0.000 0.000
As: 0.500 0.500 0.500
N: 0.000 0.500 0.000
N: 0.500 0.000 0.000
F: 0.000 0.000 0.500

Density   3.86 g/cm3

arrangement a is preferred energetically. Next in line: 418 meV per atom higher.